First-principles (PBEsol) data for a relaxed structure of MnFeRu, as listed in the Alexandria database.

**Symmetry**: F-43m, No. 216
**Crystal system**: cubic
**VASP energy**: -9.027 eV/atom
**ΔE to the lowest computed polymorph**: 0.521 eV/atom

```
MnFeRu
1.0
3.808 0.000 0.000
1.904 3.298 0.000
1.904 1.099 3.109
Fe Mn Ru
1 1 1
Direct
0.500 0.500 0.500
0.250 0.250 0.250
0.000 0.000 0.000
```



First-principles (PBEsol) data for a relaxed structure of MnFe2Ru, as listed in the Alexandria database.

**Symmetry**: Imm2, No. 44
**Crystal system**: orthorhombic
**VASP energy**: -9.299 eV/atom

```
MnFe2Ru
1.0
2.861 0.000 0.000
0.000 4.047 0.000
-1.431 -2.023 4.014
Fe Mn Ru
2 1 1
Direct
0.006 0.006 0.013
0.750 0.250 0.500
0.495 0.495 0.990
0.249 0.749 0.497
```



First-principles (PBEsol) data for a relaxed structure of MnFeSb2, as listed in the Alexandria database.

**E_form (uncorrected)**: 1.33 eV per formula unit
**Symmetry**: C2/m, No. 12
**Crystal system**: monoclinic
**VASP energy**: -6.628 eV/atom

```
MnFeSb2
1.0
3.314 0.000 0.000
-1.657 3.864 0.243
0.000 -1.717 5.486
Fe Mn Sb
1 1 2
Direct
0.000 0.000 0.500
0.500 0.000 0.000
0.745 0.490 0.734
0.255 0.510 0.266
```



First-principles (PBEsol) data for a relaxed structure of Sc2MnFe, as listed in the Alexandria database.

**Symmetry**: Imm2, No. 44
**Crystal system**: orthorhombic
**VASP energy**: -7.953 eV/atom
**ΔE to the lowest computed polymorph**: 0.000 eV/atom

```
Sc2MnFe
1.0
-1.664 2.307 -1.069
-2.657 -0.317 3.451
4.856 2.039 1.163
Fe Mn Sc
1 1 2
Direct
0.473 0.473 0.946
0.790 0.290 0.580
0.010 0.010 0.020
0.227 0.727 0.454
```



First-principles (PBEsol) data for a relaxed structure of Sc2MnFe, as listed in the Alexandria database.

**Symmetry**: P4/mmm, No. 123
**Crystal system**: tetragonal
**VASP energy**: -7.928 eV/atom
**ΔE to the lowest computed polymorph**: 0.025 eV/atom

```
Sc2MnFe
1.0
-1.605 1.130 2.396
-2.053 -2.301 -0.291
3.463 -3.598 4.017
Fe Mn Sc
1 1 2
Direct
0.500 0.500 0.000
0.500 0.500 0.500
0.000 0.000 0.769
0.000 0.000 0.231
```



First-principles (PBEsol) data for a relaxed structure of ScMnFe2, as listed in the Alexandria database.

**Symmetry**: I4/mmm, No. 139
**Crystal system**: tetragonal
**VASP energy**: -8.334 eV/atom

```
ScMnFe2
1.0
-1.574 2.920 1.671
-2.152 0.544 -2.977
-0.892 -4.108 2.210
Fe Mn Sc
2 1 1
Direct
0.750 0.250 0.500
0.250 0.750 0.500
0.500 0.500 0.000
0.000 0.000 0.000
```